Record 1
Zr2Tl2Pt: relaxed, PBE.

Lattice parameters (Å, degrees): 7.1216 7.1216 4.3688 90.00 90.00 90.00
Space group P4/mbm (No. 127)
Inequivalent atoms, fractional coordinates:
Zr1 0.1654 0.3346 0.0000 (multiplicity 4)
Tl1 0.1429 0.6429 0.5000 (multiplicity 4)
Pt1 0.0000 0.0000 0.5000 (multiplicity 2)

## Properties
- Energy relative to the lowest polymorph listed for this composition: 24 meV per atom
- Fermi-level density of states: 2.293 states/eV/f.u.
- Crystal system: tetragonal
- M_tot: 0.000 μB/atom
- E_form: -0.068 eV/atom
- E_tot: -5.64 eV per atom

=====

Record 2
CaSm2Pb: relaxed, PBE.

Lattice parameters (Å, degrees): 4.9857 4.9857 4.9735 90.00 90.00 90.00
Space group P4/mmm (No. 123)
Inequivalent atoms, fractional coordinates:
Ca1 0.0000 0.0000 0.0000 (multiplicity 1)
Sm1 0.0000 0.5000 0.5000 (multiplicity 2)
Pb1 0.5000 0.5000 0.0000 (multiplicity 1)

## Properties
- Energy relative to the lowest polymorph listed for this composition: 0 meV per atom
- Fermi-level density of states: 3.768 states/eV/f.u.
- Crystal system: tetragonal
- M_tot: 0.000 μB/atom
- E_form: -0.285 eV/atom
- E_tot: -4.07 eV per atom